No. 1
VASP calculation (GGA-PBE) on an optimized crystal structure of Sm4Y2Ga3O2.

a b c (Å): 4.747 4.747 12.153
angles (deg): 101.26 101.26 90.00
Fractional positions:
O  0.396  0.396  0.791
O  0.604  0.604  0.209
Ga  0.000  0.000  0.000
Ga  0.171  0.171  0.343
Ga  0.829  0.829  0.657
Y  0.298  0.298  0.595
Y  0.702  0.702  0.405
Sm  0.084  0.584  0.168
Sm  0.584  0.084  0.168
Sm  0.916  0.416  0.832
Sm  0.416  0.916  0.832

## Properties
Uncorrected formation energy, kJ/mol of atoms: -127
Energy, eV per atom: -5.939
Density of states at the Fermi level, states/eV/atom: 0.49
Crystal system: tetragonal

No. 2
VASP calculation (GGA-PBE) on an optimized crystal structure of CaCoCl2.

a b c (Å): 5.428 5.428 4.890
angles (deg): 92.33 92.33 38.89
Each line ends with the local moment (μB).
Fractional positions:
Cl  0.726  0.726  0.709  0.00
Cl  0.968  0.968  0.210  0.03
Ca  0.246  0.246  0.170  -0.07
Co  0.560  0.560  0.411  1.15

## Properties
Uncorrected formation energy, kJ/mol of atoms: -85
Energy, eV per atom: -4.082
Density of states at the Fermi level, states/eV/atom: 0.77
Crystal system: monoclinic
Relative energy among the computed polymorphs, eV/atom: 0.0463

No. 3
VASP calculation (GGA-PBE) on an optimized crystal structure of Cs2InHg8.

a b c (Å): 5.782 8.157 12.155
angles (deg): 124.56 117.71 91.13
Fractional positions:
Hg  0.798  0.374  0.039
Hg  0.202  0.626  0.961
Hg  0.542  0.167  0.318
Hg  0.929  0.841  0.155
Hg  0.071  0.159  0.845
Hg  0.912  0.628  0.666
Hg  0.088  0.372  0.334
Hg  0.458  0.833  0.682
Cs  0.385  0.301  0.651
Cs  0.615  0.699  0.349
In  0.500  0.000  0.000

## Properties
Calculated formation energy, eV per atom: -0.158
Energy, eV per atom: -0.782
Density of states at the Fermi level, states/eV/atom: 0.48
Crystal system: triclinic
Relative energy among the computed polymorphs, eV/atom: 0.0000

No. 4
VASP calculation (GGA-PBE) on an optimized crystal structure of LiReAg2.

a b c (Å): 5.572 5.572 5.572
angles (deg): 152.12 127.76 60.25
Each line ends with the local moment (μB).
Fractional positions:
Re  0.250  0.750  0.500  0.50
Ag  0.513  0.513  0.000  0.02
Ag  0.987  0.987  0.000  0.02
Li  0.750  0.250  0.500  -0.01

## Properties
Calculated formation energy, eV per atom: 0.606
Energy, eV per atom: -4.410
Density of states at the Fermi level, states/eV/atom: 0.84
Crystal system: orthorhombic
Relative energy among the computed polymorphs, eV/atom: 0.3115

No. 5
VASP calculation (GGA-PBE) on an optimized crystal structure of BaSi2N2O2.

a b c (Å): 4.879 5.402 14.563
angles (deg): 90.00 90.00 90.00
Fractional positions:
Si  0.300  0.840  0.300
Si  0.300  0.340  0.200
Si  0.200  0.340  0.800
Si  0.700  0.660  0.800
Si  0.800  0.660  0.200
Si  0.800  0.160  0.300
Si  0.200  0.840  0.700
Si  0.700  0.160  0.700
N  0.653  0.869  0.278
N  0.347  0.631  0.778
N  0.653  0.369  0.222
N  0.153  0.131  0.278
N  0.153  0.631  0.222
N  0.847  0.369  0.778
N  0.347  0.131  0.722
N  0.847  0.869  0.722
O  0.248  0.266  0.093
O  0.248  0.766  0.407
O  0.252  0.266  0.907
O  0.748  0.734  0.093
O  0.752  0.234  0.593
O  0.748  0.234  0.407
O  0.752  0.734  0.907
O  0.252  0.766  0.593
Ba  0.250  0.254  0.500
Ba  0.750  0.246  0.000
Ba  0.250  0.754  0.000
Ba  0.750  0.746  0.500

## Properties
Uncorrected formation energy, kJ/mol of atoms: -197
Energy, eV per atom: -7.661
Density of states at the Fermi level, states/eV/atom: 0.00
Crystal system: orthorhombic

No. 6
VASP calculation (GGA-PBE) on an optimized crystal structure of Re2TcAg.

a b c (Å): 2.753 2.753 8.183
angles (deg): 90.00 90.00 90.00
Fractional positions:
Ag  0.500  0.500  0.750
Tc  0.500  0.500  0.250
Re  0.000  0.000  0.019
Re  0.000  0.000  0.481

## Properties
Calculated formation energy, eV per atom: 0.410
Energy, eV per atom: -9.119
Density of states at the Fermi level, states/eV/atom: 1.00
Crystal system: tetragonal
Relative energy among the computed polymorphs, eV/atom: 0.1578

No. 7
VASP calculation (GGA-PBE) on an optimized crystal structure of Ta2TiSe6.

a b c (Å): 3.508 7.955 8.773
angles (deg): 112.74 101.53 90.00
Fractional positions:
Ta  0.165  0.332  0.330
Ta  0.835  0.668  0.670
Se  0.330  0.420  0.659
Se  0.003  0.240  0.007
Se  0.662  0.087  0.323
Se  0.670  0.580  0.341
Se  0.997  0.760  0.993
Se  0.338  0.913  0.677
Ti  0.500  0.000  0.000

## Properties
Uncorrected formation energy, kJ/mol of atoms: -88
Energy, eV per atom: -6.743
Density of states at the Fermi level, states/eV/atom: 0.49
Crystal system: monoclinic
Relative energy among the computed polymorphs, eV/atom: 0.0000

No. 8
VASP calculation (GGA-PBE) on an optimized crystal structure of KRuBr2.

a b c (Å): 5.393 5.393 5.393
angles (deg): 60.00 60.00 60.00
Each line ends with the local moment (μB).
Fractional positions:
K  0.500  0.500  0.500  0.02
Br  0.000  0.000  0.000  0.09
Br  0.250  0.250  0.250  0.04
Ru  0.750  0.750  0.750  2.52

## Properties
Uncorrected formation energy, kJ/mol of atoms: 48
Energy, eV per atom: -2.933
Density of states at the Fermi level, states/eV/atom: 0.38
Crystal system: cubic
Relative energy among the computed polymorphs, eV/atom: 0.7868

No. 9
VASP calculation (GGA-PBE) on an optimized crystal structure of NpAu3Cl9.

a b c (Å): 10.215 10.919 11.794
angles (deg): 73.50 64.34 62.11
Each line ends with the local moment (μB).
Fractional positions:
Cl  0.401  0.859  0.416  -0.08
Cl  0.758  0.619  0.153  -0.07
Cl  0.734  0.883  0.420  -0.06
Cl  0.894  0.009  0.086  0.00
Cl  0.412  0.185  0.367  -0.07
Cl  0.661  0.433  0.489  0.00
Cl  0.323  0.359  0.916  -0.08
Cl  0.747  0.095  0.817  -0.02
Cl  0.417  0.933  0.989  0.00
Cl  0.470  0.119  0.653  -0.07
Cl  0.049  0.288  0.201  -0.07
Cl  0.037  0.685  0.867  -0.07
Cl  0.121  0.604  0.146  -0.04
Cl  0.963  0.383  0.920  -0.06
Cl  0.129  0.104  0.646  -0.04
Cl  0.342  0.595  0.317  -0.02
Cl  0.462  0.788  0.701  -0.07
Cl  0.011  0.509  0.586  0.00
Au  0.841  0.471  0.531  -0.01
Au  0.157  0.971  0.031  -0.01
Au  0.086  0.559  0.363  -0.03
Au  0.707  0.266  0.656  -0.01
Au  0.371  0.766  0.156  -0.01
Au  0.992  0.059  0.863  -0.03
Np  0.039  0.486  0.033  2.10
Np  0.442  0.986  0.533  2.10

## Properties
Uncorrected formation energy, kJ/mol of atoms: -74
Energy, eV per atom: -3.796
Density of states at the Fermi level, states/eV/atom: 0.70
Crystal system: monoclinic

No. 10
VASP calculation (GGA-PBE) on an optimized crystal structure of MoPt2.

a b c (Å): 3.993 3.993 12.078
angles (deg): 99.52 99.52 90.00
Fractional positions:
Pt  0.585  0.585  0.171
Pt  0.252  0.252  0.503
Pt  0.998  0.498  0.997
Pt  0.415  0.415  0.829
Pt  0.665  0.165  0.329
Pt  0.835  0.335  0.671
Pt  0.748  0.748  0.497
Pt  0.502  0.002  0.003
Mo  0.338  0.838  0.675
Mo  0.088  0.088  0.175
Mo  0.162  0.662  0.325
Mo  0.912  0.912  0.825

## Properties
Calculated formation energy, eV per atom: -0.254
Energy, eV per atom: -7.891
Density of states at the Fermi level, states/eV/atom: 0.85
Crystal system: tetragonal
Relative energy among the computed polymorphs, eV/atom: 0.1256

No. 11
VASP calculation (GGA-PBE) on an optimized crystal structure of Pr2DyNi2.

a b c (Å): 3.842 6.694 10.117
angles (deg): 81.64 79.05 73.32
Fractional positions:
Ni  0.885  0.683  0.547
Ni  0.997  0.121  0.885
Ni  0.115  0.317  0.453
Ni  0.003  0.879  0.115
Dy  0.207  0.947  0.639
Dy  0.793  0.053  0.361
Pr  0.457  0.396  0.691
Pr  0.661  0.748  0.930
Pr  0.543  0.604  0.309
Pr  0.339  0.252  0.070

## Properties
Calculated formation energy, eV per atom: -0.266
Energy, eV per atom: -5.411
Density of states at the Fermi level, states/eV/atom: 0.92
Crystal system: monoclinic

No. 12
VASP calculation (GGA-PBE) on an optimized crystal structure of LaHoOsAu.

a b c (Å): 5.058 5.058 5.058
angles (deg): 60.00 60.00 60.00
Fractional positions:
Os  0.000  0.000  0.000
Ho  0.250  0.250  0.250
La  0.750  0.750  0.750
Au  0.500  0.500  0.500

## Properties
Calculated formation energy, eV per atom: -0.371
Energy, eV per atom: -6.374
Density of states at the Fermi level, states/eV/atom: 0.93
Crystal system: cubic

No. 13
VASP calculation (GGA-PBE) on an optimized crystal structure of Rb2H3Se.

a b c (Å): 6.963 6.963 8.368
angles (deg): 53.07 53.07 73.87
Each line ends with the local moment (μB).
Fractional positions:
H  0.896  0.896  0.604  0.04
H  0.604  0.604  0.896  0.04
H  0.750  0.750  0.750  0.01
H  0.396  0.396  0.104  0.04
H  0.250  0.250  0.250  0.01
H  0.104  0.104  0.396  0.04
Rb  0.249  0.751  0.251  0.00
Rb  0.251  0.749  0.751  0.00
Rb  0.749  0.251  0.249  0.00
Rb  0.751  0.249  0.749  0.00
Se  0.750  0.750  0.250  0.11
Se  0.250  0.250  0.750  0.11

## Properties
Energy, eV per atom: -2.834
Density of states at the Fermi level, states/eV/atom: 0.32
Crystal system: tetragonal

No. 14
VASP calculation (GGA-PBE) on an optimized crystal structure of ZnCd2Co.

a b c (Å): 3.866 2.931 6.620
angles (deg): 63.51 90.00 90.00
Each line ends with the local moment (μB).
Fractional positions:
Zn  0.500  0.750  0.750  -0.01
Co  0.500  0.250  0.250  1.20
Cd  0.000  0.509  0.488  -0.02
Cd  0.000  0.991  0.012  -0.02

## Properties
Calculated formation energy, eV per atom: 0.248
Energy, eV per atom: -2.304
Density of states at the Fermi level, states/eV/atom: 0.92
Crystal system: monoclinic

No. 15
VASP calculation (GGA-PBE) on an optimized crystal structure of Nb2Re2Te.

a b c (Å): 4.349 4.349 6.272
angles (deg): 69.72 69.72 90.00
Fractional positions:
Nb  0.750  0.250  0.500
Nb  0.250  0.750  0.500
Re  0.617  0.617  0.766
Re  0.383  0.383  0.234
Te  0.000  0.000  0.000

## Properties
Uncorrected formation energy, kJ/mol of atoms: 48
Energy, eV per atom: -9.139
Density of states at the Fermi level, states/eV/atom: 0.86
Crystal system: tetragonal
Relative energy among the computed polymorphs, eV/atom: 0.1431

No. 16
VASP calculation (GGA-PBE) on an optimized crystal structure of NiPdPt14.

a b c (Å): 5.560 5.560 9.272
angles (deg): 90.00 90.00 120.06
Each line ends with the local moment (μB).
Fractional positions:
Pt  0.038  0.460  0.500  0.16
Pt  0.875  0.125  0.749  0.07
Pt  0.540  0.962  0.500  0.16
Pt  0.377  0.623  0.744  0.11
Pt  0.709  0.789  0.000  0.06
Pt  0.873  0.624  0.255  0.11
Pt  0.376  0.127  0.745  0.11
Pt  0.211  0.291  0.000  0.06
Pt  0.873  0.624  0.745  0.11
Pt  0.210  0.790  0.000  0.13
Pt  0.376  0.127  0.255  0.11
Pt  0.377  0.623  0.256  0.11
Pt  0.709  0.291  0.000  0.07
Pt  0.875  0.125  0.251  0.07
Ni  0.540  0.460  0.500  0.92
Pd  0.039  0.961  0.500  0.12

## Properties
Calculated formation energy, eV per atom: 0.006
Energy, eV per atom: -5.965
Density of states at the Fermi level, states/eV/atom: 2.04
Crystal system: orthorhombic

No. 17
VASP calculation (GGA-PBE) on an optimized crystal structure of Hf2NbTc.

a b c (Å): 3.352 4.715 4.715
angles (deg): 90.00 90.00 90.00
Fractional positions:
Hf  0.000  0.000  0.500
Hf  0.000  0.500  0.000
Tc  0.500  0.500  0.500
Nb  0.500  0.000  0.000

## Properties
Calculated formation energy, eV per atom: -0.131
Energy, eV per atom: -10.217
Density of states at the Fermi level, states/eV/atom: 1.87
Crystal system: tetragonal
Relative energy among the computed polymorphs, eV/atom: 0.0839

No. 18
VASP calculation (GGA-PBE) on an optimized crystal structure of Ca2PmHo.

a b c (Å): 5.878 5.878 5.878
angles (deg): 60.00 60.00 60.00
Fractional positions:
Ho  0.000  0.000  0.000
Pm  0.500  0.500  0.500
Ca  0.750  0.750  0.750
Ca  0.250  0.250  0.250

## Properties
Calculated formation energy, eV per atom: 0.163
Energy, eV per atom: -3.170
Density of states at the Fermi level, states/eV/atom: 1.45
Crystal system: cubic
Relative energy among the computed polymorphs, eV/atom: 0.1124

No. 19
VASP calculation (GGA-PBE) on an optimized crystal structure of BaGa3Os.

a b c (Å): 20.357 8.934 8.934
angles (deg): 153.99 156.53 23.47
Fractional positions:
Os  0.322  0.033  0.967
Os  0.678  0.967  0.033
Ga  0.838  0.231  0.769
Ga  0.162  0.769  0.231
Ga  0.954  0.752  0.248
Ga  0.046  0.248  0.752
Ga  0.640  0.604  0.396
Ga  0.360  0.396  0.604
Ba  0.684  0.216  0.784
Ba  0.316  0.784  0.216

## Properties
Calculated formation energy, eV per atom: -0.067
Energy, eV per atom: -4.513
Density of states at the Fermi level, states/eV/atom: 0.56
Crystal system: monoclinic
Relative energy among the computed polymorphs, eV/atom: 0.3312

No. 20
VASP calculation (GGA-PBE) on an optimized crystal structure of La2InAs.

a b c (Å): 8.416 8.416 6.954
angles (deg): 52.76 52.76 90.00
Fractional positions:
As  0.500  0.500  0.000
As  0.250  0.750  0.500
La  0.875  0.845  0.750
La  0.155  0.625  0.250
La  0.595  0.125  0.250
La  0.375  0.405  0.750
In  0.000  0.000  0.000
In  0.750  0.250  0.500

## Properties
Calculated formation energy, eV per atom: -0.653
Energy, eV per atom: -4.964
Density of states at the Fermi level, states/eV/atom: 0.95
Crystal system: tetragonal
Relative energy among the computed polymorphs, eV/atom: 0.2806